A geometry-optimized AcRe2Br2O7 structure. Source: Alexandria via LeMat-Bulk, functional PBE-GGA.

Cell: 3.971 3.971 15.046 Å, 94.65 94.65 90.00°
Element x y z (fractional)
Ac  0.000  0.000  0.000
Re  0.455  0.455  0.855
Re  0.545  0.545  0.145
Br  0.250  0.250  0.499
Br  0.750  0.750  0.501
O  0.037  0.537  0.121
O  0.421  0.421  0.741
O  0.463  0.963  0.879
O  0.500  0.500  0.000
O  0.537  0.037  0.121
O  0.579  0.579  0.259
O  0.963  0.463  0.879

Summary:
- Uncorrected energy: -7.14 eV/atom
- D(E_F): 6.006 states/eV/f.u.
- Energy relative to the elements, uncorrected: -18.64 eV per formula unit

=====

A geometry-optimized Cs2NaFeOs structure. Source: Alexandria via LeMat-Bulk, functional PBE-GGA.

Cell: 6.991 6.991 4.355 Å, 90.00 90.00 90.00°
Element x y z (fractional)
Cs  0.000  0.500  0.000
Cs  0.500  0.000  0.000
Na  0.000  0.000  0.500
Fe  0.500  0.500  0.500
Os  0.500  0.500  0.000

Summary:
- Uncorrected energy: -3.40 eV/atom
- ΔH_f (0 K): 1.15 eV per atom
- D(E_F): 5.912 states/eV/f.u.

=====

A geometry-optimized Hf6Ir3Pd structure. Source: Alexandria via LeMat-Bulk, functional PBE-GGA.

Cell: 7.198 6.531 10.915 Å, 90.00 127.09 90.00°
Element x y z (fractional)
Hf  0.012  0.082  0.250
Hf  0.012  0.418  0.750
Hf  0.225  0.649  0.072
Hf  0.225  0.851  0.572
Hf  0.390  0.150  0.067
Hf  0.390  0.350  0.567
Hf  0.610  0.650  0.433
Hf  0.610  0.850  0.933
Hf  0.775  0.149  0.428
Hf  0.775  0.351  0.928
Hf  0.988  0.582  0.250
Hf  0.988  0.918  0.750
Ir  0.000  0.000  0.000
Ir  0.000  0.500  0.500
Ir  0.323  0.153  0.779
Ir  0.323  0.347  0.279
Ir  0.677  0.653  0.721
Ir  0.677  0.847  0.221
Pd  0.500  0.000  0.500
Pd  0.500  0.500  0.000

Summary:
- Uncorrected energy: -9.67 eV/atom
- ΔH_f (0 K): -0.52 eV per atom
- D(E_F): 9.396 states/eV/f.u.

=====

A geometry-optimized Ac2PmGe4Pd3 structure. Source: Alexandria via LeMat-Bulk, functional PBE-GGA.

Cell: 4.456 4.456 11.536 Å, 90.00 90.00 90.00°
Element x y z (fractional)
Ac  0.000  0.500  0.226
Ac  0.500  0.000  0.774
Pm  0.000  0.000  0.500
Ge  0.000  0.000  0.000
Ge  0.000  0.500  0.665
Ge  0.500  0.000  0.335
Ge  0.500  0.500  0.000
Pd  0.000  0.500  0.886
Pd  0.500  0.000  0.114
Pd  0.500  0.500  0.500

Summary:
- Uncorrected energy: -5.49 eV/atom
- ΔH_f (0 K): -0.79 eV per atom
- D(E_F): 4.371 states/eV/f.u.